(1)
! MoWSe4 | Alexandria via LeMat-Bulk | GGA-PBEsol | optimized geometry; values from VASP
! - energy relative to the lowest polymorph listed for this composition (meV per atom) = 2151
! - space-group type = No. 216
! - mass density (g/cm³) = 9.4
! - E_form (uncorrected) (eV/f.u.) = 9.00
! - calculated total energy (eV/atom) = -5.33
&SYSTEM
  ibrav = 0, nat = 6, ntyp = 3
/
ATOMIC_SPECIES
W 183.84 W.upf
Se 78.96 Se.upf
Mo 95.94 Mo.upf
CELL_PARAMETERS angstrom
-4.131 -1.595 -2.905
0.707 -3.498 -3.914
-1.839 -4.941 0.500
ATOMIC_POSITIONS angstrom
W -3.947 -7.525 -4.738
Se -2.893 -6.233 -2.120
Se -1.974 -3.763 -2.370
Se -4.039 -4.560 -3.821
Se -1.621 -5.511 -4.325
Mo 0.000 0.000 0.000

(2)
! BeIr2Pb | Alexandria via LeMat-Bulk | GGA-PBEsol | optimized geometry; values from VASP
! - energy relative to the lowest polymorph listed for this composition (meV per atom) = 281
! - calculated formation energy (eV per atom) = 0.542
! - space-group type = No. 12
! - mass density (g/cm³) = 15.9
! - calculated total energy (eV/atom) = -6.37
&SYSTEM
  ibrav = 0, nat = 4, ntyp = 3
/
ATOMIC_SPECIES
Pb 207.20 Pb.upf
Ir 192.22 Ir.upf
Be 9.01 Be.upf
CELL_PARAMETERS angstrom
-2.320 1.433 -1.054
-2.120 -0.241 4.411
4.074 3.215 -0.579
ATOMIC_POSITIONS angstrom
Pb 0.000 0.000 0.000
Ir 0.977 1.487 1.916
Ir 0.877 2.324 -0.817
Be -2.220 0.596 1.678

(3)
! KIn2Pt | Alexandria via LeMat-Bulk | GGA-PBEsol | optimized geometry; values from VASP
! - calculated formation energy (eV per atom) = 0.114
! - space-group type = No. 216
! - mass density (g/cm³) = 8.6
! - calculated total energy (eV/atom) = -3.40
&SYSTEM
  ibrav = 0, nat = 4, ntyp = 3
/
ATOMIC_SPECIES
Pt 195.08 Pt.upf
K 39.10 K.upf
In 114.82 In.upf
CELL_PARAMETERS angstrom
5.030 0.000 0.000
2.515 4.356 0.000
2.515 1.452 4.107
ATOMIC_POSITIONS angstrom
Pt 2.515 1.452 1.027
K 5.030 2.904 2.053
In 0.000 0.000 0.000
In 7.545 4.356 3.080

(4)
! Na2Bi5AuO11 | Alexandria via LeMat-Bulk | GGA-PBEsol | optimized geometry; values from VASP
! - space-group type = No. 127
! - mass density (g/cm³) = 8.3
! - E_form (uncorrected) (eV/f.u.) = -20.16
! - calculated total energy (eV/atom) = -5.58
&SYSTEM
  ibrav = 0, nat = 38, ntyp = 4
/
ATOMIC_SPECIES
O 16.00 O.upf
Bi 208.98 Bi.upf
Na 22.99 Na.upf
Au 196.97 Au.upf
CELL_PARAMETERS angstrom
-3.419 -0.896 1.605
5.132 -9.647 5.548
2.707 7.008 9.682
ATOMIC_POSITIONS angstrom
O 2.248 1.859 5.829
O 2.514 -5.829 6.797
O 1.688 -3.135 1.845
O 3.031 5.067 9.287
O 1.837 4.686 6.530
O 3.018 -3.583 4.430
O -0.356 3.056 5.643
O 4.821 0.945 10.800
O 0.856 -5.271 3.576
O 6.152 0.497 13.385
O 5.591 -4.497 9.401
O 1.906 2.295 10.038
O 4.840 -1.716 9.354
O 0.157 -0.466 4.769
O 3.682 0.593 8.177
O 6.003 -7.324 8.699
O 4.263 -3.069 12.065
O 4.157 -3.231 7.053
O 2.999 -0.922 5.876
O 4.809 -7.705 5.942
O 6.946 -2.425 13.445
O 0.894 -0.214 1.785
Bi 3.513 -3.642 10.147
Bi 2.377 -7.554 5.541
Bi 2.043 4.020 11.294
Bi 5.266 -4.232 13.553
Bi 2.566 -4.823 2.774
Bi 0.907 0.107 6.688
Bi 2.586 0.295 10.369
Bi -0.846 0.698 3.282
Bi 1.354 3.504 4.841
Bi 1.834 -3.829 6.465
Na 5.772 -1.242 11.605
Na 2.067 -1.396 3.625
Na 4.873 -5.600 7.255
Na 2.967 2.961 7.975
Au 0.000 0.000 0.000
Au 3.920 -1.319 7.615